(1)
This record from Alexandria via LeMat-Bulk describes a geometry-optimized CsRb2AsBr6 structure. The functional is PBE.

For the energy above the most stable polymorph in this dataset, the calculation gives 6.0 kJ/mol of atoms. The uncorrected formation energy is -1.171 eV/atom.

a = 8.5339 Å, b = 8.5339 Å, c = 8.5339 Å
α = 60.00°, β = 60.00°, γ = 60.00°
Closest atoms and distances in Å follow each position.
Atoms (fractional coordinates):
Cs 0.0000 0.0000 0.0000  6 Br 3.37
Rb 0.2500 0.2500 0.2500  12 Br 4.28
Rb 0.7500 0.7500 0.7500  12 Br 4.28
As 0.5000 0.5000 0.5000  6 Br 2.66
Br 0.2792 0.2792 0.7208  1 As 2.66
Br 0.2792 0.7208 0.2792  1 As 2.66
Br 0.2792 0.7208 0.7208  1 As 2.66
Br 0.7208 0.2792 0.2792  1 As 2.66
Br 0.7208 0.2792 0.7208  1 As 2.66
Br 0.7208 0.7208 0.2792  1 As 2.66

---

(2)
This record from Alexandria via LeMat-Bulk describes a geometry-optimized CsRb2AsBr6 structure. The functional is PBE.

For the energy above the most stable polymorph in this dataset, the calculation gives 0.0 kJ/mol of atoms. The uncorrected formation energy is -1.234 eV/atom.

a = 8.1433 Å, b = 8.6358 Å, c = 14.1676 Å
α = 90.00°, β = 124.46°, γ = 90.00°
Closest atoms and distances in Å follow each position.
Atoms (fractional coordinates):
Cs 0.0000 0.0000 0.0000  6 Br 3.54-3.63
Cs 0.0000 0.5000 0.5000  6 Br 3.54-3.63
Rb 0.2811 0.0785 0.7519  6 Br 3.49-3.68
Rb 0.2811 0.4215 0.2519  6 Br 3.49-3.68
Rb 0.7189 0.5785 0.7481  6 Br 3.49-3.68
Rb 0.7189 0.9215 0.2481  6 Br 3.49-3.68
As 0.5000 0.0000 0.5000  6 Br 2.68-2.70
As 0.5000 0.5000 0.0000  6 Br 2.68-2.70
Br 0.1646 0.0490 0.2916  1 As 2.69
Br 0.1646 0.4510 0.7916  1 As 2.69
Br 0.2942 0.6656 0.0596  1 As 2.68
Br 0.2942 0.8344 0.5596  1 As 2.68
Br 0.4243 0.2392 0.0742  1 As 2.70
Br 0.4243 0.2608 0.5742  1 As 2.70
Br 0.5757 0.7392 0.4258  1 As 2.70
Br 0.5757 0.7608 0.9258  1 As 2.70
Br 0.7058 0.1656 0.4404  1 As 2.68
Br 0.7058 0.3344 0.9404  1 As 2.68
Br 0.8354 0.5490 0.2084  1 As 2.69
Br 0.8354 0.9510 0.7084  1 As 2.69

---

(3)
This record from Alexandria via LeMat-Bulk describes a geometry-optimized CsRbAsBr2 structure. The functional is PBE.

For the energy above the most stable polymorph in this dataset, the calculation gives 13.2 kJ/mol of atoms. The uncorrected formation energy is -0.451 eV/atom.

a = 6.7877 Å, b = 6.7877 Å, c = 6.1689 Å
α = 90.00°, β = 90.00°, γ = 90.00°
Closest atoms and distances in Å follow each position.
Atoms (fractional coordinates):
Cs 0.0000 0.0000 0.0000  2 As 3.08, 4 Br 3.39
Rb 0.5000 0.5000 0.5000  8 Br 4.59, 4 As 4.80
As 0.0000 0.0000 0.5000  2 Cs 3.08
Br 0.0000 0.5000 0.0000  2 Cs 3.39
Br 0.5000 0.0000 0.0000  2 Cs 3.39

---

(4)
This record from Alexandria via LeMat-Bulk describes a geometry-optimized Cs2RbAsBr6 structure. The functional is PBE.

For the energy above the most stable polymorph in this dataset, the calculation gives 0.0 kJ/mol of atoms. The uncorrected formation energy is -1.258 eV/atom.

a = 8.2255 Å, b = 8.5227 Å, c = 14.3516 Å
α = 90.00°, β = 124.48°, γ = 90.00°
Closest atoms and distances in Å follow each position.
Atoms (fractional coordinates):
Cs 0.2312 0.0616 0.2479  7 Br 3.68-4.01
Cs 0.2312 0.4384 0.7479  7 Br 3.68-4.01
Cs 0.7688 0.5616 0.2521  7 Br 3.68-4.01
Cs 0.7688 0.9384 0.7521  7 Br 3.68-4.01
Rb 0.5000 0.0000 0.0000  6 Br 3.37-3.41
Rb 0.5000 0.5000 0.5000  6 Br 3.37-3.41
As 0.0000 0.0000 0.5000  6 Br 2.68-2.69
As 0.0000 0.5000 0.0000  6 Br 2.68-2.69
Br 0.1304 0.2359 0.9598  1 As 2.69
Br 0.1304 0.2641 0.4598  1 As 2.69
Br 0.2284 0.6741 0.9615  1 As 2.69
Br 0.2284 0.8259 0.4615  1 As 2.69
Br 0.2949 0.0153 0.7197  1 As 2.68
Br 0.2949 0.4847 0.2197  1 As 2.68
Br 0.7051 0.5153 0.7803  1 As 2.68
Br 0.7051 0.9847 0.2803  1 As 2.68
Br 0.7716 0.1741 0.5385  1 As 2.69
Br 0.7716 0.3259 0.0385  1 As 2.69
Br 0.8696 0.7359 0.5402  1 As 2.69
Br 0.8696 0.7641 0.0402  1 As 2.69

---

(5)
This record from Alexandria via LeMat-Bulk describes a geometry-optimized CsReAsBr2 structure. The functional is PBE.

The uncorrected formation energy is -0.164 eV/atom.

a = 5.6083 Å, b = 5.6083 Å, c = 4.7659 Å
α = 90.00°, β = 90.00°, γ = 90.00°
Closest atoms and distances in Å follow each position.
Atoms (fractional coordinates):
Cs 0.0000 0.0000 0.0000  8 Br 3.68, 4 As 3.97
Re 0.5000 0.5000 0.5000  2 As 2.38
As 0.5000 0.5000 0.0000  2 Re 2.38
Br 0.0000 0.5000 0.5000  2 Re 2.80
Br 0.5000 0.0000 0.5000  2 Re 2.80

---

(6)
This record from Alexandria via LeMat-Bulk describes a geometry-optimized CsAs2RhBr structure. The functional is PBE.

For the energy above the most stable polymorph in this dataset, the calculation gives 194.2 kJ/mol of atoms. The uncorrected formation energy is 1.762 eV/atom.

a = 6.0805 Å, b = 6.0805 Å, c = 6.4710 Å
α = 90.00°, β = 90.00°, γ = 90.00°
Closest atoms and distances in Å follow each position.
Atoms (fractional coordinates):
Cs 0.0000 0.0000 0.0000  4 As 3.04, 2 Br 3.24
As 0.0000 0.5000 0.0000  2 Cs 3.04
As 0.5000 0.0000 0.0000  2 Cs 3.04
Rh 0.5000 0.5000 0.5000  4 Br 4.30, 8 As 4.44
Br 0.0000 0.0000 0.5000  2 Cs 3.24

---

(7)
This record from Alexandria via LeMat-Bulk describes a geometry-optimized CsAsRhBr2 structure. The functional is PBE.

The uncorrected formation energy is -0.528 eV/atom.

a = 5.6502 Å, b = 5.6502 Å, c = 4.6438 Å
α = 90.00°, β = 90.00°, γ = 90.00°
Closest atoms and distances in Å follow each position.
Atoms (fractional coordinates):
Cs 0.0000 0.0000 0.0000  8 Br 3.66, 4 As 4.00
As 0.5000 0.5000 0.0000  2 Rh 2.32
Rh 0.5000 0.5000 0.5000  2 As 2.32
Br 0.0000 0.5000 0.5000  2 Rh 2.83
Br 0.5000 0.0000 0.5000  2 Rh 2.83

---

(8)
This record from Alexandria via LeMat-Bulk describes a geometry-optimized CsAs2RhBr structure. The functional is PBE.

For the energy above the most stable polymorph in this dataset, the calculation gives 0.0 kJ/mol of atoms. The uncorrected formation energy is -0.251 eV/atom.

a = 4.7239 Å, b = 4.7239 Å, c = 8.5942 Å
α = 90.00°, β = 90.00°, γ = 90.00°
Closest atoms and distances in Å follow each position.
Atoms (fractional coordinates):
Cs 0.0000 0.0000 0.0000  4 Br 3.34
As 0.0000 0.5000 0.5000  2 Rh 2.36
As 0.5000 0.0000 0.5000  2 Rh 2.36
Rh 0.5000 0.5000 0.5000  4 As 2.36
Br 0.5000 0.5000 0.0000  4 Cs 3.34

---

(9)
This record from Alexandria via LeMat-Bulk describes a geometry-optimized CsAs2RuBr structure. The functional is PBE.

For the energy above the most stable polymorph in this dataset, the calculation gives 0.0 kJ/mol of atoms. The uncorrected formation energy is -0.159 eV/atom.

a = 4.7967 Å, b = 4.7967 Å, c = 6.2166 Å
α = 90.00°, β = 90.00°, γ = 90.00°
Closest atoms and distances in Å follow each position.
Atoms (fractional coordinates):
Cs 0.0000 0.0000 0.0000  4 Br 3.39
As 0.0000 0.5000 0.5000  2 Ru 2.40
As 0.5000 0.0000 0.5000  2 Ru 2.40
Ru 0.5000 0.5000 0.5000  4 As 2.40
Br 0.5000 0.5000 0.0000  2 Ru 3.11, 4 Cs 3.39

---

(10)
This record from Alexandria via LeMat-Bulk describes a geometry-optimized CsAs2RuBr structure. The functional is PBE.

For the energy above the most stable polymorph in this dataset, the calculation gives 208.5 kJ/mol of atoms. The uncorrected formation energy is 2.001 eV/atom.

a = 5.9438 Å, b = 5.9438 Å, c = 6.3103 Å
α = 90.00°, β = 90.00°, γ = 90.00°
Closest atoms and distances in Å follow each position.
Atoms (fractional coordinates):
Cs 0.0000 0.0000 0.0000  4 As 2.97, 2 Br 3.16
As 0.0000 0.5000 0.0000  2 Cs 2.97
As 0.5000 0.0000 0.0000  2 Cs 2.97
Ru 0.5000 0.5000 0.5000  4 Br 4.20, 8 As 4.33
Br 0.0000 0.0000 0.5000  2 Cs 3.16

---

(11)
This record from Alexandria via LeMat-Bulk describes a geometry-optimized CsAs2SBr structure. The functional is PBE.

For the energy above the most stable polymorph in this dataset, the calculation gives 145.9 kJ/mol of atoms. The uncorrected formation energy is 1.452 eV/atom.

a = 6.2105 Å, b = 6.2105 Å, c = 6.2593 Å
α = 90.00°, β = 90.00°, γ = 90.00°
Closest atoms and distances in Å follow each position.
Atoms (fractional coordinates):
Cs 0.0000 0.0000 0.0000  4 As 3.11, 2 Br 3.13
As 0.0000 0.5000 0.0000  2 Cs 3.11
As 0.5000 0.0000 0.0000  2 Cs 3.11
S 0.5000 0.5000 0.5000  4 Br 4.39, 8 As 4.41
Br 0.0000 0.0000 0.5000  2 Cs 3.13

---

(12)
This record from Alexandria via LeMat-Bulk describes a geometry-optimized Cs5AsS4Br2 structure. The functional is PBE.

The uncorrected formation energy is -1.151 eV/atom.

a = 10.5060 Å, b = 7.3102 Å, c = 7.3102 Å
α = 108.02°, β = 90.00°, γ = 90.00°
Closest atoms and distances in Å follow each position.
Atoms (fractional coordinates):
Cs 0.0000 0.0000 0.0000  2 S 3.56, 4 Br 3.63-3.69
Cs 0.2740 0.2896 0.6817  3 S 3.42-3.76, 2 Br 3.64-3.66
Cs 0.2740 0.6817 0.2896  3 S 3.42-3.76, 2 Br 3.64-3.66
Cs 0.7260 0.2896 0.6817  3 S 3.42-3.76, 2 Br 3.64-3.66
Cs 0.7260 0.6817 0.2896  3 S 3.42-3.76, 2 Br 3.64-3.66
As 0.5000 0.9453 0.9453  4 S 2.20-2.21
S 0.3297 0.0956 0.0956  1 As 2.21
S 0.5000 0.6435 0.9423  1 As 2.20
S 0.5000 0.9423 0.6435  1 As 2.20
S 0.6703 0.0956 0.0956  1 As 2.21
Br 0.0000 0.4972 0.9776  6 Cs 3.63-3.69
Br 0.0000 0.9776 0.4972  6 Cs 3.63-3.69

---

(13)
This record from Alexandria via LeMat-Bulk describes a geometry-optimized CsAs2SBr structure. The functional is PBE.

For the energy above the most stable polymorph in this dataset, the calculation gives 0.0 kJ/mol of atoms. The uncorrected formation energy is -0.061 eV/atom.

a = 4.8422 Å, b = 4.8422 Å, c = 8.6217 Å
α = 90.00°, β = 90.00°, γ = 90.00°
Closest atoms and distances in Å follow each position.
Atoms (fractional coordinates):
Cs 0.0000 0.0000 0.0000  4 Br 3.42
As 0.0000 0.5000 0.5000  2 S 2.42
As 0.5000 0.0000 0.5000  2 S 2.42
S 0.5000 0.5000 0.5000  4 As 2.42
Br 0.5000 0.5000 0.0000  4 Cs 3.42

---

Number 1: spin magnetization 0.00 μB/cell. Number 2: spin magnetization 0.00 μB/cell. Number 3: spin magnetization 2.03 μB/cell. Number 4: spin magnetization 0.00 μB/cell. Number 5: spin magnetization 1.89 μB/cell. Number 6: spin magnetization 4.69 μB/cell. Number 7: spin magnetization 0.00 μB/cell. Number 8: spin magnetization 0.39 μB/cell. Number 9: spin magnetization 0.00 μB/cell. Number 10: spin magnetization 5.34 μB/cell. Number 11: spin magnetization 6.02 μB/cell. Number 12: spin magnetization 0.01 μB/cell. Number 13: spin magnetization 0.00 μB/cell.